#a
BSb3Ru | PBE-GGA | relaxed

Calculated values
The total magnetization comes out at 0.00 μB per formula unit. As for the density of states at the Fermi level: 4.598 states/eV/cell.

Cell: 4.6595 4.6595 4.6595 Å, 90.00 90.00 90.00°
Positions (direct):
B  0.0000  0.0000  0.0000
Sb  0.0000  0.0000  0.5000
Sb  0.5000  0.0000  0.0000
Sb  0.0000  0.5000  0.0000
Ru  0.5000  0.5000  0.5000

#b
BSb3Ru | PBE-GGA | relaxed

Calculated values
The total magnetization comes out at 0.00 μB per formula unit. As for the density of states at the Fermi level: 3.401 states/eV/cell.

Cell: 5.1039 5.1039 5.1039 Å, 90.00 90.00 90.00°
Positions (direct):
Ru  0.0000  0.0000  0.0000
B  0.5000  0.5000  0.5000
Sb  0.5000  0.0000  0.0000
Sb  0.0000  0.5000  0.0000
Sb  0.0000  0.0000  0.5000

Quick one: most stable of them? #a

#a
BSbRu3 | PBE-GGA | relaxed

Calculated values
The total magnetization comes out at 4.21 μB per formula unit. As for the density of states at the Fermi level: 4.010 states/eV/cell.

Cell: 4.8501 4.8501 4.8501 Å, 90.00 90.00 90.00°
Positions (direct):
Ru  0.0000  0.0000  0.5000
Ru  0.5000  0.0000  0.0000
Ru  0.0000  0.5000  0.0000
B  0.5000  0.5000  0.5000
Sb  0.0000  0.0000  0.0000

#b
BSbRu3 | PBE-GGA | relaxed

Calculated values
The total magnetization comes out at 0.00 μB per formula unit. As for the density of states at the Fermi level: 1.485 states/eV/cell.

Cell: 4.1316 4.1316 4.1316 Å, 90.00 90.00 90.00°
Positions (direct):
Sb  0.5000  0.5000  0.5000
Ru  0.5000  0.0000  0.0000
Ru  0.0000  0.5000  0.0000
Ru  0.0000  0.0000  0.5000
B  0.0000  0.0000  0.0000

Quick one: most stable of them? #b

#a
BSb2TeRu | PBE-GGA | relaxed

Calculated values
The total magnetization comes out at 0.00 μB per formula unit. As for the density of states at the Fermi level: 4.381 states/eV/cell.

Cell: 4.6536 4.6536 4.7077 Å, 90.00 90.00 90.00°
Positions (direct):
Te  0.0000  0.0000  0.5000
B  0.0000  0.0000  0.0000
Sb  0.0000  0.5000  0.0000
Sb  0.5000  0.0000  0.0000
Ru  0.5000  0.5000  0.5000

#b
BSb2TeRu | PBE-GGA | relaxed

Calculated values
The total magnetization comes out at 0.00 μB per formula unit. As for the density of states at the Fermi level: 4.774 states/eV/cell.

Cell: 4.9864 4.9864 5.6192 Å, 90.00 90.00 90.00°
Positions (direct):
Sb  0.5000  0.0000  0.0000
Sb  0.0000  0.5000  0.0000
Te  0.0000  0.0000  0.5000
B  0.5000  0.5000  0.5000
Ru  0.0000  0.0000  0.0000

Quick one: most stable of them? #a

#a
ScB3Ru | PBE-GGA | relaxed

Calculated values
The total magnetization comes out at 0.00 μB per formula unit. As for the density of states at the Fermi level: 1.252 states/eV/cell.

Cell: 3.9969 3.9969 3.9969 Å, 90.00 90.00 90.00°
Positions (direct):
B  0.0000  0.0000  0.5000
B  0.5000  0.0000  0.0000
B  0.0000  0.5000  0.0000
Sc  0.5000  0.5000  0.5000
Ru  0.0000  0.0000  0.0000

#b
ScB3Ru | PBE-GGA | relaxed

Calculated values
The total magnetization comes out at 0.25 μB per formula unit. As for the density of states at the Fermi level: 4.522 states/eV/cell.

Cell: 4.0305 4.0305 4.0305 Å, 90.00 90.00 90.00°
Positions (direct):
Ru  0.5000  0.5000  0.5000
B  0.0000  0.5000  0.0000
B  0.5000  0.0000  0.0000
B  0.0000  0.0000  0.5000
Sc  0.0000  0.0000  0.0000

Quick one: most stable of them? #a

#a
ScB2Ru | PBE-GGA | relaxed

Calculated values
The total magnetization comes out at 0.00 μB per formula unit. As for the density of states at the Fermi level: 1.264 states/eV/cell.

Cell: 3.9611 3.9611 3.9611 Å, 60.00 60.00 60.00°
Positions (direct):
Sc  0.0000  0.0000  0.0000
B  0.2500  0.2500  0.2500
B  0.7500  0.7500  0.7500
Ru  0.5000  0.5000  0.5000

#b
ScB2Ru | PBE-GGA | relaxed

Calculated values
The total magnetization comes out at 0.00 μB per formula unit. As for the density of states at the Fermi level: 4.282 states/eV/cell.

Cell: 3.9832 3.9832 7.5892 Å, 74.79 74.79 90.00°
Positions (direct):
B  0.8750  0.6250  0.2500
B  0.8750  0.1250  0.2500
B  0.8750  0.1250  0.7500
B  0.3750  0.1250  0.7500
Sc  0.2500  0.7500  0.5000
Sc  0.5000  0.5000  0.0000
Ru  0.0000  0.0000  0.0000
Ru  0.7500  0.2500  0.5000

Quick one: most stable of them? #b

#a
ScB4Ru4 | PBE-GGA | relaxed

Calculated values
The total magnetization comes out at 0.00 μB per formula unit. As for the density of states at the Fermi level: 32.827 states/eV/cell.

Cell: 9.1355 9.1355 9.1355 Å, 132.25 132.25 69.83°
Positions (direct):
B  0.2167  0.2510  0.3051
B  0.5010  0.9667  0.8051
B  0.3041  0.4990  0.4657
B  0.6616  0.4667  0.4657
B  0.0884  0.7833  0.0343
B  0.5333  0.9990  0.1949
B  0.4459  0.7510  0.0343
B  0.5884  0.5541  0.3051
B  0.7490  0.0541  0.9657
B  0.2490  0.2833  0.6949
B  0.8041  0.3384  0.8051
B  0.0010  0.1959  0.5343
B  0.9459  0.9116  0.6949
B  0.0333  0.8384  0.5343
B  0.7167  0.4116  0.9657
B  0.1616  0.6959  0.1949
Ru  0.4261  0.6576  0.4604
Ru  0.5528  0.2843  0.9604
Ru  0.6972  0.1576  0.2315
Ru  0.8239  0.7843  0.7315
Ru  0.5343  0.3028  0.4604
Ru  0.8424  0.0739  0.5396
Ru  0.3239  0.5924  0.0396
Ru  0.9076  0.1761  0.9604
Ru  0.0528  0.0924  0.2685
Ru  0.7157  0.6761  0.2685
Ru  0.1972  0.9657  0.5396
Ru  0.2157  0.9472  0.0396
Ru  0.4076  0.4472  0.7315
Ru  0.0343  0.5739  0.2315
Ru  0.9261  0.4657  0.7685
Ru  0.3424  0.8028  0.7685
Sc  0.7500  0.7500  0.0000
Sc  0.0000  0.5000  0.5000
Sc  0.2500  0.2500  0.0000
Sc  0.5000  0.0000  0.5000

#b
ScB4Ru4 | PBE-GGA | relaxed

Calculated values
The total magnetization comes out at 0.00 μB per formula unit. As for the density of states at the Fermi level: 14.286 states/eV/cell.

Cell: 5.3382 5.3382 7.2287 Å, 90.00 90.00 90.00°
Positions (direct):
B  0.0000  0.6714  0.6487
B  0.1714  0.5000  0.1487
B  0.5000  0.8286  0.8513
B  0.5000  0.1714  0.8513
B  0.0000  0.3286  0.6487
B  0.8286  0.5000  0.1487
B  0.6714  0.0000  0.3513
B  0.3286  0.0000  0.3513
Ru  0.2450  0.0000  0.6435
Ru  0.5000  0.7450  0.1435
Ru  0.7450  0.5000  0.8565
Ru  0.0000  0.7550  0.3565
Ru  0.7550  0.0000  0.6435
Ru  0.0000  0.2450  0.3565
Ru  0.2550  0.5000  0.8565
Ru  0.5000  0.2550  0.1435
Sc  0.5000  0.5000  0.5000
Sc  0.0000  0.0000  0.0000

Quick one: most stable of them? #a

#a
B2RuSe2 | PBE-GGA | relaxed

Calculated values
The total magnetization comes out at 0.00 μB per formula unit. As for the density of states at the Fermi level: 2.946 states/eV/cell.

Cell: 6.5012 6.5012 3.1955 Å, 90.00 90.00 90.00°
Positions (direct):
Se  0.7269  0.2269  0.5000
Se  0.2731  0.7731  0.5000
Se  0.2269  0.2731  0.5000
Se  0.7731  0.7269  0.5000
Ru  0.0000  0.0000  0.0000
Ru  0.5000  0.5000  0.0000
B  0.0918  0.4082  0.0000
B  0.4082  0.9082  0.0000
B  0.5918  0.0918  0.0000
B  0.9082  0.5918  0.0000

#b
B2RuSe2 | PBE-GGA | relaxed

Calculated values
The total magnetization comes out at 0.00 μB per formula unit. As for the density of states at the Fermi level: 4.374 states/eV/cell.

Cell: 4.5931 4.5931 4.5018 Å, 59.33 59.33 90.00°
Positions (direct):
Se  0.2500  0.7500  0.5000
Se  0.7500  0.2500  0.5000
B  0.3658  0.3658  0.2684
B  0.6342  0.6342  0.7316
Ru  0.0000  0.0000  0.0000

Quick one: most stable of them? #a

#a
B2Ru2Se | PBE-GGA | relaxed

Calculated values
The total magnetization comes out at 0.00 μB per formula unit. As for the density of states at the Fermi level: 1.647 states/eV/cell.

Cell: 4.0195 4.0195 4.6418 Å, 64.34 64.34 90.00°
Positions (direct):
B  0.6173  0.6173  0.7654
B  0.3827  0.3827  0.2346
Ru  0.2500  0.7500  0.5000
Ru  0.7500  0.2500  0.5000
Se  0.0000  0.0000  0.0000

#b
B2Ru2Se | PBE-GGA | relaxed

Calculated values
The total magnetization comes out at 0.00 μB per formula unit. As for the density of states at the Fermi level: 6.032 states/eV/cell.

Cell: 6.3456 6.3456 2.8311 Å, 90.00 90.00 90.00°
Positions (direct):
B  0.5991  0.0991  0.0000
B  0.0991  0.4009  0.0000
B  0.9009  0.5991  0.0000
B  0.4009  0.9009  0.0000
Ru  0.8204  0.3204  0.5000
Ru  0.6796  0.8204  0.5000
Ru  0.3204  0.1796  0.5000
Ru  0.1796  0.6796  0.5000
Se  0.0000  0.0000  0.0000
Se  0.5000  0.5000  0.0000

Quick one: most stable of them? #a